# 1
Density functional theory data (PBE-GGA) for KLiRh2 after structural relaxation.

```
data_KLiRh2
_chemical_formula_sum 'K1 Li1 Rh2'
_cell_length_a 9.940
_cell_length_b 9.940
_cell_length_c 9.940
_cell_angle_alpha 16.12
_cell_angle_beta 16.12
_cell_angle_gamma 16.12
_symmetry_space_group_name_H-M 'P 1'
_symmetry_Int_Tables_number 1
loop_
_symmetry_equiv_pos_as_xyz
'x,y,z'
loop_
_atom_site_label
_atom_site_type_symbol
_atom_site_fract_x
_atom_site_fract_y
_atom_site_fract_z
K1 K 0.250 0.250 0.250
Li1 Li 0.750 0.750 0.750
Rh1 Rh 0.011 0.011 0.011
Rh2 Rh 0.489 0.489 0.489
```

Values from the calculation:
- ΔH_f (0 K): 1.4 eV per formula unit
- Total magnetic moment: 0.06 Bohr magnetons per cell

---

# 2
Density functional theory data (PBE-GGA) for KLiRh2 after structural relaxation.

```
data_KLiRh2
_chemical_formula_sum 'K1 Li1 Rh2'
_cell_length_a 4.659
_cell_length_b 4.659
_cell_length_c 4.659
_cell_angle_alpha 119.93
_cell_angle_beta 119.93
_cell_angle_gamma 90.12
_symmetry_space_group_name_H-M 'P 1'
_symmetry_Int_Tables_number 1
loop_
_symmetry_equiv_pos_as_xyz
'x,y,z'
loop_
_atom_site_label
_atom_site_type_symbol
_atom_site_fract_x
_atom_site_fract_y
_atom_site_fract_z
K1 K 0.500 0.500 0.000
Li1 Li 0.750 0.250 0.500
Rh1 Rh 0.000 0.000 0.000
Rh2 Rh 0.250 0.750 0.500
```

Values from the calculation:
- ΔH_f (0 K): 2.4 eV per formula unit
- Total magnetic moment: 1.61 Bohr magnetons per cell

---

# 3
Density functional theory data (PBE-GGA) for KLiRh after structural relaxation.

```
data_KLiRh
_chemical_formula_sum 'K1 Li1 Rh1'
_cell_length_a 6.217
_cell_length_b 6.217
_cell_length_c 6.217
_cell_angle_alpha 154.49
_cell_angle_beta 140.04
_cell_angle_gamma 48.01
_symmetry_space_group_name_H-M 'P 1'
_symmetry_Int_Tables_number 1
loop_
_symmetry_equiv_pos_as_xyz
'x,y,z'
loop_
_atom_site_label
_atom_site_type_symbol
_atom_site_fract_x
_atom_site_fract_y
_atom_site_fract_z
K1 K 0.007 0.007 0.000
Li1 Li 0.276 0.276 0.000
Rh1 Rh 0.716 0.716 0.000
```

Values from the calculation:
- ΔH_f (0 K): 0.9 eV per formula unit
- Total magnetic moment: 0.00 Bohr magnetons per cell